A plane-wave DFT calculation with PBE was carried out for a relaxed Cd4Te3 crystal.

Properties
* energy relative to the elements, uncorrected: -0.96 eV/f.u.
* excess energy over the best structure of this formula in the dataset: 21.1 meV per atom
* V: 227.1 Å³ per cell
* symmetry: No. 221

Lattice parameters (Å, degrees): 6.1011 6.1011 6.1011 90.00 90.00 90.00
Element x y z (fractional)
Cd (0.5000, 0.0000, 0.5000)
Cd (0.5000, 0.5000, 0.0000)
Cd (0.0000, 0.5000, 0.5000)
Cd (0.0000, 0.0000, 0.0000)
Te (0.0000, 0.0000, 0.5000)
Te (0.5000, 0.0000, 0.0000)
Te (0.0000, 0.5000, 0.0000)


A plane-wave DFT calculation with PBE was carried out for a relaxed Cd3Te crystal.

Properties
* energy relative to the elements, uncorrected: -0.23 eV/f.u.
* excess energy over the best structure of this formula in the dataset: 42.6 meV per atom
* V: 112.0 Å³ per cell
* symmetry: No. 12

Lattice parameters (Å, degrees): 4.3669 4.3669 7.2535 72.49 72.49 59.71
Element x y z (fractional)
Cd (0.7512, 0.7512, 0.7471)
Cd (0.5000, 0.5000, 0.5000)
Cd (0.2488, 0.2488, 0.2529)
Te (0.0000, 0.0000, 0.0000)


A plane-wave DFT calculation with PBE was carried out for a relaxed CdTe5 crystal.

Properties
* energy relative to the elements, uncorrected: 0.72 eV/f.u.
* excess energy over the best structure of this formula in the dataset: 171.2 meV per atom
* V: 184.7 Å³ per cell
* symmetry: No. 189

Lattice parameters (Å, degrees): 7.1124 7.1124 4.2158 90.00 90.00 120.00
Element x y z (fractional)
Cd (0.0000, 0.0000, 0.5000)
Te (0.6791, 0.0000, 0.0000)
Te (0.3209, 0.3209, 0.0000)
Te (0.6667, 0.3333, 0.5000)
Te (0.3333, 0.6667, 0.5000)
Te (0.0000, 0.6791, 0.0000)


A plane-wave DFT calculation with PBE was carried out for a relaxed Cd2Te crystal.

Properties
* energy relative to the elements, uncorrected: -0.32 eV/f.u.
* excess energy over the best structure of this formula in the dataset: 66.4 meV per atom
* V: 171.4 Å³ per cell
* symmetry: No. 63

Lattice parameters (Å, degrees): 6.8810 6.8810 6.1189 90.00 90.00 143.72
Element x y z (fractional)
Te (0.3360, 0.6640, 0.7500)
Te (0.6640, 0.3360, 0.2500)
Cd (0.9981, 0.0019, 0.2500)
Cd (0.0019, 0.9981, 0.7500)
Cd (0.3290, 0.6710, 0.2500)
Cd (0.6710, 0.3290, 0.7500)


A plane-wave DFT calculation with PBE was carried out for a relaxed Cd3Te crystal.

Properties
* energy relative to the elements, uncorrected: -0.40 eV/f.u.
* excess energy over the best structure of this formula in the dataset: 0.0 meV per atom
* V: 436.5 Å³ per cell
* symmetry: No. 62

Lattice parameters (Å, degrees): 9.8707 5.0646 8.7306 90.00 90.00 90.00
Element x y z (fractional)
Cd (0.6377, 0.3544, 0.5121)
Cd (0.6665, 0.7072, 0.2500)
Cd (0.6377, 0.3544, 0.9879)
Cd (0.3623, 0.6456, 0.4879)
Cd (0.8335, 0.2072, 0.2500)
Cd (0.1377, 0.1456, 0.4879)
Cd (0.3623, 0.6456, 0.0121)
Cd (0.8623, 0.8544, 0.5121)
Cd (0.1377, 0.1456, 0.0121)
Cd (0.8623, 0.8544, 0.9879)
Cd (0.3335, 0.2928, 0.7500)
Cd (0.1665, 0.7928, 0.7500)
Te (0.5776, 0.9679, 0.7500)
Te (0.0776, 0.5321, 0.2500)
Te (0.4224, 0.0321, 0.2500)
Te (0.9224, 0.4679, 0.7500)


A plane-wave DFT calculation with PBE was carried out for a relaxed Cd2Te crystal.

Properties
* energy relative to the elements, uncorrected: -0.51 eV/f.u.
* excess energy over the best structure of this formula in the dataset: 2.3 meV per atom
* V: 203.9 Å³ per cell
* symmetry: No. 194

Lattice parameters (Å, degrees): 4.4057 4.4057 12.1293 90.00 90.00 120.00
Element x y z (fractional)
Cd (0.0000, 0.0000, 0.8882)
Cd (0.0000, 0.0000, 0.3882)
Cd (0.0000, 0.0000, 0.6118)
Cd (0.0000, 0.0000, 0.1118)
Te (0.3333, 0.6667, 0.2500)
Te (0.6667, 0.3333, 0.7500)


A plane-wave DFT calculation with PBE was carried out for a relaxed Cd4Te crystal.

Properties
* energy relative to the elements, uncorrected: 1.89 eV/f.u.
* excess energy over the best structure of this formula in the dataset: 347.3 meV per atom
* V: 192.4 Å³ per cell
* symmetry: No. 221

Lattice parameters (Å, degrees): 5.7728 5.7728 5.7728 90.00 90.00 90.00
Element x y z (fractional)
Cd (0.5000, 0.0000, 0.5000)
Cd (0.5000, 0.5000, 0.0000)
Cd (0.0000, 0.5000, 0.5000)
Cd (0.0000, 0.0000, 0.0000)
Te (0.5000, 0.5000, 0.5000)


A plane-wave DFT calculation with PBE was carried out for a relaxed Cd3Te crystal.

Properties
* energy relative to the elements, uncorrected: 0.20 eV/f.u.
* excess energy over the best structure of this formula in the dataset: 150.7 meV per atom
* V: 101.9 Å³ per cell
* symmetry: No. 47

Lattice parameters (Å, degrees): 3.1995 4.4330 7.1837 90.00 90.00 90.00
Element x y z (fractional)
Cd (0.5000, 0.5000, 0.7251)
Cd (0.0000, 0.0000, 0.5000)
Cd (0.5000, 0.5000, 0.2749)
Te (0.0000, 0.0000, 0.0000)


A plane-wave DFT calculation with PBE was carried out for a relaxed Cd2Te crystal.

Properties
* energy relative to the elements, uncorrected: -0.40 eV/f.u.
* excess energy over the best structure of this formula in the dataset: 39.6 meV per atom
* V: 84.8 Å³ per cell
* symmetry: No. 164

Lattice parameters (Å, degrees): 4.3033 4.3033 5.2866 90.00 90.00 120.00
Element x y z (fractional)
Te (0.0000, 0.0000, 0.0000)
Cd (0.3333, 0.6667, 0.3284)
Cd (0.6667, 0.3333, 0.6716)


A plane-wave DFT calculation with PBE was carried out for a relaxed Cd2Te crystal.

Properties
* energy relative to the elements, uncorrected: 0.44 eV/f.u.
* excess energy over the best structure of this formula in the dataset: 317.7 meV per atom
* V: 155.0 Å³ per cell
* symmetry: No. 227

Lattice parameters (Å, degrees): 6.0289 6.0289 6.0289 60.00 60.00 60.00
Element x y z (fractional)
Cd (0.6250, 0.1250, 0.1250)
Cd (0.1250, 0.1250, 0.6250)
Cd (0.1250, 0.1250, 0.1250)
Cd (0.1250, 0.6250, 0.1250)
Te (0.7500, 0.7500, 0.7500)
Te (0.5000, 0.5000, 0.5000)


A plane-wave DFT calculation with PBE was carried out for a relaxed Cd3Te4 crystal.

Properties
* energy relative to the elements, uncorrected: -1.20 eV/f.u.
* excess energy over the best structure of this formula in the dataset: 0.0 meV per atom
* V: 242.5 Å³ per cell
* symmetry: No. 215

Lattice parameters (Å, degrees): 6.2359 6.2359 6.2359 90.00 90.00 90.00
Element x y z (fractional)
Te (0.7853, 0.7853, 0.7853)
Te (0.7853, 0.2147, 0.2147)
Te (0.2147, 0.7853, 0.2147)
Te (0.2147, 0.2147, 0.7853)
Cd (0.5000, 0.0000, 0.5000)
Cd (0.0000, 0.5000, 0.5000)
Cd (0.5000, 0.5000, 0.0000)


A plane-wave DFT calculation with PBE was carried out for a relaxed Cd2Te crystal.

Properties
* energy relative to the elements, uncorrected: 0.01 eV/f.u.
* excess energy over the best structure of this formula in the dataset: 175.7 meV per atom
* V: 168.2 Å³ per cell
* symmetry: No. 141

Lattice parameters (Å, degrees): 10.7721 10.7721 10.7721 158.47 158.47 30.63
Element x y z (fractional)
Te (0.0000, 0.0000, 0.0000)
Te (0.7500, 0.2500, 0.5000)
Cd (0.4266, 0.4266, 0.0000)
Cd (0.3234, 0.8234, 0.5000)
Cd (0.5734, 0.5734, 0.0000)
Cd (0.1766, 0.6766, 0.5000)


A plane-wave DFT calculation with PBE was carried out for a relaxed Cd4Te3 crystal.

Properties
* energy relative to the elements, uncorrected: 1.09 eV/f.u.
* excess energy over the best structure of this formula in the dataset: 314.2 meV per atom
* V: 204.3 Å³ per cell
* symmetry: No. 191

Lattice parameters (Å, degrees): 6.4395 6.4395 5.6897 90.00 90.00 120.00
Element x y z (fractional)
Cd (0.0000, 0.0000, 0.2566)
Cd (0.6667, 0.3333, 0.5000)
Cd (0.3333, 0.6667, 0.5000)
Cd (0.0000, 0.0000, 0.7434)
Te (0.5000, 0.5000, 0.0000)
Te (0.5000, 0.0000, 0.0000)
Te (0.0000, 0.5000, 0.0000)


A plane-wave DFT calculation with PBE was carried out for a relaxed Cd3Te crystal.

Properties
* energy relative to the elements, uncorrected: -0.08 eV/f.u.
* excess energy over the best structure of this formula in the dataset: 81.2 meV per atom
* V: 210.7 Å³ per cell
* symmetry: No. 139

Lattice parameters (Å, degrees): 11.9917 11.9917 11.9917 159.53 159.53 29.10
Element x y z (fractional)
Cd (0.1495, 0.1495, 0.0000)
Cd (0.5000, 0.0000, 0.5000)
Cd (0.2500, 0.7500, 0.5000)
Cd (0.0000, 0.5000, 0.5000)
Cd (0.7500, 0.2500, 0.5000)
Cd (0.8505, 0.8505, 0.0000)
Te (0.6082, 0.6082, 0.0000)
Te (0.3918, 0.3918, 0.0000)


A plane-wave DFT calculation with PBE was carried out for a relaxed Cd3Te4 crystal.

Properties
* energy relative to the elements, uncorrected: 1.35 eV/f.u.
* excess energy over the best structure of this formula in the dataset: 364.1 meV per atom
* V: 206.9 Å³ per cell
* symmetry: No. 191

Lattice parameters (Å, degrees): 5.4717 5.4717 7.9798 90.00 90.00 120.00
Element x y z (fractional)
Te (0.0000, 0.0000, 0.2457)
Te (0.3333, 0.6667, 0.5000)
Te (0.0000, 0.0000, 0.7543)
Te (0.6667, 0.3333, 0.5000)
Cd (0.5000, 0.0000, 0.0000)
Cd (0.5000, 0.5000, 0.0000)
Cd (0.0000, 0.5000, 0.0000)


A plane-wave DFT calculation with PBE was carried out for a relaxed Cd2Te crystal.

Properties
* energy relative to the elements, uncorrected: 0.08 eV/f.u.
* excess energy over the best structure of this formula in the dataset: 197.7 meV per atom
* V: 96.9 Å³ per cell
* symmetry: No. 225

Lattice parameters (Å, degrees): 5.1548 5.1548 5.1548 60.00 60.00 60.00
Element x y z (fractional)
Cd (0.2500, 0.2500, 0.2500)
Cd (0.7500, 0.7500, 0.7500)
Te (0.0000, 0.0000, 0.0000)


A plane-wave DFT calculation with PBE was carried out for a relaxed CdTe7 crystal.

Properties
* energy relative to the elements, uncorrected: 2.87 eV/f.u.
* V: 226.7 Å³ per cell
* symmetry: No. 225

Lattice parameters (Å, degrees): 6.8438 6.8438 6.8438 60.00 60.00 60.00
Element x y z (fractional)
Cd (0.0000, 0.0000, 0.0000)
Te (0.0000, 0.5000, 0.5000)
Te (0.0000, 0.0000, 0.5000)
Te (0.5000, 0.0000, 0.5000)
Te (0.5000, 0.0000, 0.0000)
Te (0.5000, 0.5000, 0.0000)
Te (0.5000, 0.5000, 0.5000)
Te (0.0000, 0.5000, 0.0000)


A plane-wave DFT calculation with PBE was carried out for a relaxed Cd2Te crystal.

Properties
* energy relative to the elements, uncorrected: -0.25 eV/f.u.
* excess energy over the best structure of this formula in the dataset: 89.0 meV per atom
* V: 162.5 Å³ per cell
* symmetry: No. 12

Lattice parameters (Å, degrees): 6.9490 6.9490 8.6889 63.26 63.26 25.89
Element x y z (fractional)
Cd (0.3631, 0.3631, 0.9127)
Cd (0.1245, 0.1245, 0.4077)
Cd (0.8755, 0.8755, 0.5923)
Cd (0.6369, 0.6369, 0.0873)
Te (0.3786, 0.3786, 0.2558)
Te (0.6214, 0.6214, 0.7442)


A plane-wave DFT calculation with PBE was carried out for a relaxed Cd2Te crystal.

Properties
* energy relative to the elements, uncorrected: -0.24 eV/f.u.
* excess energy over the best structure of this formula in the dataset: 92.5 meV per atom
* V: 87.3 Å³ per cell
* symmetry: No. 160

Lattice parameters (Å, degrees): 5.8826 5.8826 5.8826 43.42 43.42 43.42
Element x y z (fractional)
Cd (0.7772, 0.7772, 0.7772)
Cd (0.5553, 0.5553, 0.5553)
Te (0.0008, 0.0008, 0.0008)


A plane-wave DFT calculation with PBE was carried out for a relaxed Cd4Te crystal.

Properties
* energy relative to the elements, uncorrected: 0.15 eV/f.u.
* excess energy over the best structure of this formula in the dataset: 0.0 meV per atom
* V: 131.0 Å³ per cell
* symmetry: No. 139

Lattice parameters (Å, degrees): 7.8488 7.8488 7.8488 148.58 148.58 45.04
Element x y z (fractional)
Cd (0.4011, 0.4011, 0.0000)
Cd (0.7500, 0.2500, 0.5000)
Cd (0.5989, 0.5989, 0.0000)
Cd (0.2500, 0.7500, 0.5000)
Te (0.0000, 0.0000, 0.0000)


no.,energy (eV per atom)
1,-2.0063
2,-1.5303
3,-2.6507
4,-1.7634
5,-1.5729
6,-1.8275
7,-0.9831
8,-1.4222
9,-1.7902
10,-1.5121
11,-2.3586
12,-1.6541
13,-1.7132
14,-1.4917
15,-1.9945
16,-1.6321
17,-2.5049
18,-1.7408
19,-1.7374
20,-1.3303